1.
An optimized crystal structure of CeH2Br4, computed with PBE.

```
CeH2Br4
1.0
3.970 0.000 0.000
-0.946 6.826 0.000
-0.170 -0.088 7.919
Ce H Br
1 2 4
Cartesian
0.000 0.000 0.000
0.431 3.238 1.963
2.423 3.500 5.956
-0.196 1.924 2.423
1.031 5.152 1.525
1.823 1.586 6.394
3.050 4.814 5.496
```

total energy: -3.5345 eV per atom
space-group type: No. 2

***

2.
An optimized crystal structure of Pm12HoPb6, computed with PBE.

```
Pm12HoPb6
1.0
5.863 3.385 5.059
-5.863 3.385 5.059
0.000 -6.770 5.059
Pm Ho Pb
12 1 6
Cartesian
-0.224 -1.934 3.074
-1.563 1.161 3.074
-1.660 -1.538 6.192
1.787 0.773 3.074
-2.162 0.669 8.985
-0.502 2.207 6.192
0.502 -2.207 8.985
2.162 -0.669 6.192
-1.787 -0.773 12.104
1.660 1.538 8.985
1.563 -1.161 12.104
0.224 1.934 12.104
0.000 0.000 0.000
-3.644 1.076 5.952
-2.754 -2.618 9.226
0.890 -3.694 5.952
-0.890 3.694 9.226
2.754 2.618 5.952
3.644 -1.076 9.226
```

DFT formation energy: -0.2723 eV per atom
space-group type: No. 148